Compound: LiTcSbAs
Source: OQMD via LeMat-Bulk
Functional: GGA-PBE
Structure: relaxed

## Properties
Density, g cm⁻³: 7.23
SG: F-43m (216)
Size of the total moment, Bohr magnetons per cell: 1.36
VASP energy, eV/atom: -4.871
Relative energy among the computed polymorphs, kJ/mol of atoms: 46.1

Unit cell a=4.6101 b=4.6101 c=4.6101 alpha=60.00 beta=60.00 gamma=60.00
Element x y z (fractional)
As 0.2500 0.2500 0.2500
Li 0.7500 0.7500 0.7500
Sb 0.0000 0.0000 0.0000
Tc 0.5000 0.5000 0.5000